# 1
The following is a DFT calculation (PBE-GGA) of a relaxed Ti3VCr crystal.

Results
ΔH_f (0 K)	69.7	kJ/mol of atoms
SG	No. 221

Cell lengths 4.4906, 4.4906, 4.4906 Å; angles 90.00, 90.00, 90.00 degrees
Last column: magnetic moment on the atom in μB.
Sites, in units of the cell vectors:
Cr1 0.0000 0.0000 0.0000  -0.19
V1 0.5000 0.5000 0.5000  2.30
Ti1 0.0000 0.5000 0.0000  -0.18
Ti2 0.0000 0.0000 0.5000  -0.18
Ti3 0.5000 0.0000 0.0000  -0.18

***

# 2
The following is a DFT calculation (PBE-GGA) of a relaxed LiCu3Pb crystal.

Results
ΔH_f (0 K)	48.2	kJ/mol of atoms
SG	No. 221

Cell lengths 4.3749, 4.3749, 4.3749 Å; angles 90.00, 90.00, 90.00 degrees
Sites, in units of the cell vectors:
Pb1 0.5000 0.5000 0.5000
Cu1 0.0000 0.5000 0.0000
Cu2 0.0000 0.0000 0.5000
Cu3 0.5000 0.0000 0.0000
Li1 0.0000 0.0000 0.0000

***

# 3
The following is a DFT calculation (PBE-GGA) of a relaxed Th4SnSb2Te crystal.

Results
SG	No. 10
E_form (uncorrected)	-0.8486	eV per atom

Cell lengths 4.5039, 7.8316, 7.7836 Å; angles 70.57, 90.00, 90.00 degrees
Sites, in units of the cell vectors:
Th1 0.0000 0.7523 0.7461
Th2 0.0000 0.2477 0.2539
Th3 0.5000 0.7500 0.2531
Th4 0.5000 0.2500 0.7469
Sn1 0.0000 0.5000 0.5000
Sb1 0.0000 0.0000 0.0000
Sb2 0.5000 0.0000 0.5000
Te1 0.5000 0.5000 0.0000

***

# 4
The following is a DFT calculation (PBE-GGA) of a relaxed InP2OsRh crystal.

Results
ΔH_f (0 K)	57.2	kJ/mol of atoms
SG	No. 123

Cell lengths 4.4714, 5.1536, 4.4714 Å; angles 90.00, 90.00, 90.00 degrees
Sites, in units of the cell vectors:
Rh1 0.0000 0.5000 0.0000
Os1 0.0000 0.0000 0.0000
P1 0.0000 0.0000 0.5000
P2 0.5000 0.0000 0.0000
In1 0.5000 0.5000 0.5000

***

# 5
The following is a DFT calculation (PBE-GGA) of a relaxed KScSeBr2 crystal.

Results
SG	No. 123
E_form (uncorrected)	-1.5654	eV per atom

Cell lengths 5.4673, 5.4673, 5.1581 Å; angles 90.00, 90.00, 90.00 degrees
Sites, in units of the cell vectors:
Sc1 0.0000 0.0000 0.0000
K1 0.5000 0.5000 0.5000
Se1 0.0000 0.0000 0.5000
Br1 0.0000 0.5000 0.0000
Br2 0.5000 0.0000 0.0000

***

# 6
The following is a DFT calculation (PBE-GGA) of a relaxed FeNi2 crystal.

Results
ΔH_f (0 K)	10.7	kJ/mol of atoms
SG	No. 227

Cell lengths 4.6296, 4.6296, 4.6296 Å; angles 60.00, 60.00, 60.00 degrees
Last column: magnetic moment on the atom in μB.
Sites, in units of the cell vectors:
Fe1 0.7500 0.7500 0.7500  2.93
Fe2 0.5000 0.5000 0.5000  2.93
Ni1 0.6250 0.1250 0.1250  0.60
Ni2 0.1250 0.1250 0.6250  0.60
Ni3 0.1250 0.6250 0.1250  0.60
Ni4 0.1250 0.1250 0.1250  0.60

***

Number 1: volume 18.111 Å³/atom. Number 2: volume 16.747 Å³/atom. Number 3: volume 32.365 Å³/atom. Number 4: volume 20.608 Å³/atom. Number 5: volume 30.836 Å³/atom. Number 6: volume 11.694 Å³/atom.